one:
TiTe2SeN | PBE-GGA | optimized geometry

Unit cell a=5.600 b=5.600 c=3.670 alpha=90.00 beta=90.00 gamma=90.00
Element x y z (fractional)
N 0.000 0.000 0.500
Ti 0.500 0.500 0.500
Se 0.000 0.000 0.000
Te 0.000 0.500 0.000
Te 0.500 0.000 0.000

Properties
- SG = P4/mmm

---

two:
TiTe2SeN | PBE-GGA | optimized geometry

Unit cell a=5.501 b=5.501 c=3.753 alpha=90.00 beta=90.00 gamma=90.00
Element x y z (fractional)
Te 0.000 0.500 0.000
Te 0.500 0.000 0.000
Se 0.500 0.500 0.500
Ti 0.000 0.000 0.000
N 0.000 0.000 0.500

Properties
- SG = P4/mmm

---

Of them, two has the highest stability.

---

one:
TiTeSeN2 | PBE-GGA | optimized geometry

Unit cell a=3.988 b=3.988 c=5.411 alpha=90.00 beta=90.00 gamma=90.00
Element x y z (fractional)
Ti 0.000 0.000 0.000
N 0.000 0.500 0.000
N 0.500 0.000 0.000
Te 0.500 0.500 0.500
Se 0.000 0.000 0.500

Properties
- SG = P4/mmm

---

two:
TiTeSeN2 | PBE-GGA | optimized geometry

Unit cell a=3.816 b=3.816 c=6.510 alpha=90.00 beta=90.00 gamma=90.00
Element x y z (fractional)
N 0.500 0.000 0.000
N 0.000 0.500 0.000
Ti 0.500 0.500 0.500
Se 0.000 0.000 0.000
Te 0.000 0.000 0.500

Properties
- SG = P4/mmm

---

Of them, one has the highest stability.

---

one:
TlTeSeN2 | PBE-GGA | optimized geometry

Unit cell a=4.363 b=4.363 c=6.126 alpha=90.00 beta=90.00 gamma=90.00
Element x y z (fractional)
Se 0.000 0.000 0.500
N 0.000 0.500 0.000
Tl 0.000 0.000 0.000
N 0.500 0.000 0.000
Te 0.500 0.500 0.500

Properties
- SG = P4/mmm

---

two:
TlTeSeN2 | PBE-GGA | optimized geometry

Unit cell a=4.189 b=4.189 c=5.785 alpha=90.00 beta=90.00 gamma=90.00
Element x y z (fractional)
Te 0.000 0.000 0.500
Se 0.000 0.000 0.000
N 0.000 0.500 0.000
N 0.500 0.000 0.000
Tl 0.500 0.500 0.500

Properties
- SG = P4/mmm

---

three:
TlTeSeN2 | PBE-GGA | optimized geometry

Unit cell a=4.324 b=4.324 c=6.624 alpha=90.00 beta=90.00 gamma=90.00
Element x y z (fractional)
Te 0.000 0.000 0.500
N 0.000 0.500 0.000
Tl 0.000 0.000 0.000
Se 0.500 0.500 0.500
N 0.500 0.000 0.000

Properties
- SG = P4/mmm

---

Of them, two has the highest stability.